Record 1
Here is Zn2In2As after structural relaxation from the Alexandria database. Energies are from GGA-PBE.

```
10
Lattice="7.435 0.000 0.000 0.000 7.435 0.000 0.000 0.000 4.132" Properties=species:S:1:pos:R:3 pbc="T T T"
Zn 1.121 2.596 0.000
Zn 2.596 6.314 0.000
Zn 4.839 1.121 0.000
Zn 6.314 4.839 0.000
In 1.132 4.850 2.066
In 2.585 1.132 2.066
In 4.850 6.303 2.066
In 6.303 2.585 2.066
As 0.000 0.000 2.066
As 3.718 3.718 2.066
```

Output
Formation energy from the elements in eV per atom: 0.240
Space group: P4/mbm
M_tot in Bohr magnetons per cell: 0.00
Calculated total energy in eV per atom: -2.295
Crystal system: tetragonal

---

Record 2
Here is SrTl6 after structural relaxation from the Alexandria database. Energies are from GGA-PBE.

```
7
Lattice="-4.225 4.225 4.225 4.225 -4.225 4.225 4.225 4.225 -4.225" Properties=species:S:1:pos:R:3 pbc="T T T"
Sr 0.000 0.000 0.000
Tl 4.225 2.112 0.000
Tl 4.225 0.000 2.112
Tl 2.112 4.225 0.000
Tl 2.112 0.000 4.225
Tl 0.000 4.225 2.112
Tl 0.000 2.112 4.225
```

Output
Formation energy from the elements in eV per atom: 0.230
Space group: Im-3m
M_tot in Bohr magnetons per cell: 0.00
Calculated total energy in eV per atom: -2.039
Crystal system: cubic